Entry w
# PdAuO PBE optimized geometry
# density	10.79	Mg/m³
data_PdAuO
_chemical_formula_sum 'Pd2 Au2 O2'
_cell_length_a 3.9359
_cell_length_b 4.1415
_cell_length_c 6.6028
_cell_angle_alpha 91.85
_cell_angle_beta 103.42
_cell_angle_gamma 108.95
_space_group_name_H-M_alt 'P -1'
_space_group_IT_number 2
loop_
_space_group_symop_operation_xyz
'x,y,z'
'-x,-y,-z'
loop_
_atom_site_label
_atom_site_fract_x
_atom_site_fract_y
_atom_site_fract_z
Pd1 0.2284 0.2869 0.1392
Au1 0.1650 0.7959 0.3992
O1 0.2392 0.6000 0.8669


Entry x
# PdAuO PBE optimized geometry
# density	12.21	Mg/m³
data_PdAuO
_chemical_formula_sum 'Pd4 Au4 O4'
_cell_length_a 6.6448
_cell_length_b 6.6448
_cell_length_c 3.9347
_cell_angle_alpha 90.00
_cell_angle_beta 90.00
_cell_angle_gamma 90.00
_space_group_name_H-M_alt 'P 42/m m c'
_space_group_IT_number 131
_space_group_name_Hall '-P 4c 2'
loop_
_atom_site_label
_atom_site_fract_x
_atom_site_fract_y
_atom_site_fract_z
Pd1 0.0000 0.2943 0.0000
Au1 0.2815 0.5000 0.5000
O1 0.0000 0.2266 0.5000


Energies, relative to the best one, in meV/atom: entry w 26; entry x 0.


Entry w
# Pd3AuO6 PBE optimized geometry
# density	8.28	Mg/m³
data_Pd3AuO6
_chemical_formula_sum 'Pd9 Au3 O18'
_cell_length_a 5.3893
_cell_length_b 5.3893
_cell_length_c 14.6387
_cell_angle_alpha 90.00
_cell_angle_beta 90.00
_cell_angle_gamma 120.00
_space_group_name_H-M_alt 'R 3'
_space_group_IT_number 146
_space_group_name_Hall 'R 3'
loop_
_atom_site_label
_atom_site_fract_x
_atom_site_fract_y
_atom_site_fract_z
Pd1 0.0000 0.0000 0.0000
Pd2 0.0000 0.0000 0.1972
Pd3 0.0000 0.0000 0.5067
Au1 0.0000 0.0000 0.7067
O1 0.9995 0.6874 0.5973
O2 0.0215 0.3051 0.1049


Entry x
# Pd3AuO6 PBE optimized geometry
# density	8.33	Mg/m³
data_Pd3AuO6
_chemical_formula_sum 'Pd6 Au2 O12'
_cell_length_a 7.5128
_cell_length_b 10.2537
_cell_length_c 3.1677
_cell_angle_alpha 90.00
_cell_angle_beta 90.00
_cell_angle_gamma 90.00
_space_group_name_H-M_alt 'C m m m'
_space_group_IT_number 65
_space_group_name_Hall '-C 2 2'
loop_
_atom_site_label
_atom_site_fract_x
_atom_site_fract_y
_atom_site_fract_z
Pd1 0.0000 0.0000 0.0000
Pd2 0.2500 0.2500 0.5000
Au1 0.0000 0.5000 0.0000
O1 0.0000 0.3532 0.5000
O2 0.1976 0.1298 0.0000


Energies, relative to the best one, in meV/atom: entry w 158; entry x 0.